Entry 1:
# Tb8ErSb6 (GGA-PBE, relaxed)
data_Tb8ErSb6
_cell_length_a 7.964
_cell_length_b 7.964
_cell_length_c 9.599
_cell_angle_alpha 65.49
_cell_angle_beta 65.49
_cell_angle_gamma 60.00
_symmetry_space_group_name_H-M 'P 1'
_symmetry_Int_Tables_number 1
loop_
_symmetry_equiv_pos_as_xyz
'x,y,z'
loop_
_atom_site_label
_atom_site_type_symbol
_atom_site_fract_x
_atom_site_fract_y
_atom_site_fract_z
_atom_site_occupancy
Tb1 Tb 0.879 0.542 0.365 1
Tb2 Tb 0.787 0.121 0.635 1
Sb1 Sb 0.265 0.603 0.199 1
Er1 Er 0.000 0.000 0.000 1
Tb3 Tb 0.333 0.333 0.000 1
Sb2 Sb 0.067 0.735 0.801 1
Sb3 Sb 0.603 0.933 0.199 1
Tb4 Tb 0.213 0.879 0.365 1
Tb5 Tb 0.667 0.667 0.000 1
Sb4 Sb 0.397 0.067 0.801 1
Tb6 Tb 0.458 0.787 0.635 1
Tb7 Tb 0.121 0.458 0.635 1
Sb5 Sb 0.933 0.265 0.199 1
Sb6 Sb 0.735 0.397 0.801 1
Tb8 Tb 0.542 0.213 0.365 1
# DOS at the Fermi energy ... 0.817 states/eV/atom
# Formation energy without anion corrections ... -0.76 eV per atom
# DFT total energy ... -0.381 Ry/atom

Entry 2:
# Tm12Os3N5 (GGA-PBE, relaxed)
data_Tm12Os3N5
_cell_length_a 12.919
_cell_length_b 12.919
_cell_length_c 12.919
_cell_angle_alpha 109.47
_cell_angle_beta 109.47
_cell_angle_gamma 109.47
_symmetry_space_group_name_H-M 'P 1'
_symmetry_Int_Tables_number 1
loop_
_symmetry_equiv_pos_as_xyz
'x,y,z'
loop_
_atom_site_label
_atom_site_type_symbol
_atom_site_fract_x
_atom_site_fract_y
_atom_site_fract_z
_atom_site_occupancy
Tm1 Tm 0.319 0.794 0.417 1
Tm2 Tm 0.402 0.377 0.583 1
N1 N 0.000 0.500 0.000 1
Tm3 Tm 0.206 0.681 0.083 1
Os1 Os 0.625 0.375 0.750 1
Os2 Os 0.375 0.750 0.625 1
Tm4 Tm 0.525 0.206 0.123 1
Tm5 Tm 0.598 0.623 0.417 1
Os3 Os 0.125 0.875 0.750 1
N2 N 0.000 0.000 0.500 1
Os4 Os 0.250 0.625 0.875 1
N3 N 0.500 0.500 0.000 1
Tm6 Tm 0.377 0.975 0.794 1
N4 N 0.125 0.375 0.250 1
N5 N 0.250 0.375 0.625 1
N6 N 0.875 0.625 0.750 1
N7 N 0.375 0.250 0.125 1
Os5 Os 0.375 0.625 0.250 1
Tm7 Tm 0.794 0.319 0.917 1
Tm8 Tm 0.525 0.319 0.902 1
Tm9 Tm 0.098 0.917 0.123 1
Os6 Os 0.250 0.125 0.375 1
N8 N 0.125 0.750 0.375 1
Tm10 Tm 0.819 0.902 0.025 1
Tm11 Tm 0.917 0.098 0.623 1
Os7 Os 0.875 0.125 0.250 1
Tm12 Tm 0.377 0.402 0.083 1
Tm13 Tm 0.475 0.681 0.098 1
Tm14 Tm 0.402 0.025 0.319 1
Tm15 Tm 0.975 0.598 0.181 1
N9 N 0.625 0.750 0.875 1
Tm16 Tm 0.598 0.975 0.681 1
Tm17 Tm 0.902 0.083 0.877 1
Os8 Os 0.125 0.250 0.875 1
N10 N 0.750 0.125 0.875 1
Tm18 Tm 0.123 0.417 0.098 1
N11 N 0.875 0.250 0.625 1
N12 N 0.000 0.000 0.000 1
N13 N 0.000 0.500 0.500 1
Tm19 Tm 0.417 0.294 0.319 1
Tm20 Tm 0.794 0.475 0.377 1
Tm21 Tm 0.294 0.417 0.819 1
Tm22 Tm 0.206 0.525 0.623 1
Tm23 Tm 0.877 0.583 0.902 1
Tm24 Tm 0.623 0.598 0.917 1
Tm25 Tm 0.319 0.525 0.402 1
Tm26 Tm 0.877 0.294 0.475 1
Tm27 Tm 0.098 0.181 0.475 1
Os9 Os 0.875 0.750 0.125 1
Tm28 Tm 0.902 0.819 0.525 1
Tm29 Tm 0.975 0.377 0.294 1
Tm30 Tm 0.181 0.098 0.975 1
Os10 Os 0.750 0.375 0.125 1
Tm31 Tm 0.417 0.123 0.598 1
Tm32 Tm 0.123 0.706 0.525 1
Tm33 Tm 0.583 0.877 0.402 1
Tm34 Tm 0.819 0.917 0.294 1
Tm35 Tm 0.181 0.083 0.706 1
Tm36 Tm 0.706 0.123 0.025 1
Os11 Os 0.625 0.250 0.375 1
N14 N 0.625 0.875 0.250 1
Tm37 Tm 0.083 0.902 0.377 1
Tm38 Tm 0.583 0.706 0.681 1
N15 N 0.375 0.125 0.750 1
N16 N 0.250 0.875 0.125 1
N17 N 0.750 0.625 0.375 1
Tm39 Tm 0.706 0.583 0.181 1
Tm40 Tm 0.025 0.402 0.819 1
Tm41 Tm 0.917 0.819 0.794 1
Tm42 Tm 0.294 0.877 0.975 1
N18 N 0.500 0.000 0.000 1
Tm43 Tm 0.681 0.206 0.583 1
Tm44 Tm 0.681 0.475 0.598 1
Tm45 Tm 0.623 0.025 0.206 1
Tm46 Tm 0.475 0.794 0.877 1
Tm47 Tm 0.025 0.623 0.706 1
Tm48 Tm 0.083 0.181 0.206 1
Os12 Os 0.750 0.875 0.625 1
N19 N 0.500 0.000 0.500 1
N20 N 0.500 0.500 0.500 1
# DOS at the Fermi energy ... 0.585 states/eV/atom
# Formation energy without anion corrections ... -0.86 eV per atom
# DFT total energy ... -0.537 Ry/atom

Entry 3:
# NpSn2Au (GGA-PBE, relaxed)
data_NpSn2Au
_cell_length_a 4.500
_cell_length_b 4.500
_cell_length_c 9.490
_cell_angle_alpha 90.00
_cell_angle_beta 90.00
_cell_angle_gamma 90.00
_symmetry_space_group_name_H-M 'P 1'
_symmetry_Int_Tables_number 1
loop_
_symmetry_equiv_pos_as_xyz
'x,y,z'
loop_
_atom_site_label
_atom_site_type_symbol
_atom_site_fract_x
_atom_site_fract_y
_atom_site_fract_z
_atom_site_occupancy
Np1 Np 0.500 0.000 0.762 1
Au1 Au 0.000 0.000 0.000 1
Sn1 Sn 0.000 0.000 0.500 1
Np2 Np 0.000 0.500 0.238 1
Sn2 Sn 0.500 0.000 0.204 1
Sn3 Sn 0.000 0.500 0.796 1
Sn4 Sn 0.500 0.500 0.500 1
Au2 Au 0.500 0.500 0.000 1
# DOS at the Fermi energy ... 2.976 states/eV/atom
# DFT total energy ... -0.455 Ry/atom
# ΔE to the lowest computed polymorph ... 0.013 eV per atom

Entry 4:
# Ta5Ga2Sn (GGA-PBE, relaxed)
data_Ta5Ga2Sn
_cell_length_a 7.819
_cell_length_b 7.819
_cell_length_c 7.819
_cell_angle_alpha 96.67
_cell_angle_beta 96.67
_cell_angle_gamma 140.16
_symmetry_space_group_name_H-M 'P 1'
_symmetry_Int_Tables_number 1
loop_
_symmetry_equiv_pos_as_xyz
'x,y,z'
loop_
_atom_site_label
_atom_site_type_symbol
_atom_site_fract_x
_atom_site_fract_y
_atom_site_fract_z
_atom_site_occupancy
Ga1 Ga 0.167 0.667 0.833 1
Ta1 Ta 0.423 0.735 0.158 1
Ta2 Ta 0.265 0.423 0.688 1
Ga2 Ga 0.667 0.833 0.500 1
Ta3 Ta 0.750 0.250 0.500 1
Sn1 Sn 0.250 0.250 0.000 1
Ta4 Ta 0.735 0.577 0.312 1
Ta5 Ta 0.923 0.765 0.688 1
Ga3 Ga 0.833 0.333 0.167 1
Ta6 Ta 0.577 0.265 0.842 1
Ta7 Ta 0.077 0.235 0.312 1
Ta8 Ta 0.765 0.077 0.842 1
Ta9 Ta 0.250 0.750 0.500 1
Ta10 Ta 0.235 0.923 0.158 1
Ga4 Ga 0.333 0.167 0.500 1
Sn2 Sn 0.750 0.750 0.000 1
# DOS at the Fermi energy ... 0.751 states/eV/atom
# DFT total energy ... -0.643 Ry/atom
# ΔE to the lowest computed polymorph ... 0.098 eV per atom

Entry 5:
# MgAl6Au12 (GGA-PBE, relaxed)
data_MgAl6Au12
_cell_length_a 7.736
_cell_length_b 7.501
_cell_length_c 7.501
_cell_angle_alpha 71.17
_cell_angle_beta 69.89
_cell_angle_gamma 110.11
_symmetry_space_group_name_H-M 'P 1'
_symmetry_Int_Tables_number 1
loop_
_symmetry_equiv_pos_as_xyz
'x,y,z'
loop_
_atom_site_label
_atom_site_type_symbol
_atom_site_fract_x
_atom_site_fract_y
_atom_site_fract_z
_atom_site_occupancy
Al1 Al 0.974 0.293 0.478 1
Au1 Au 0.644 0.845 0.878 1
Au2 Au 0.742 0.564 0.375 1
Au3 Au 0.478 0.122 0.723 1
Au4 Au 0.178 0.061 0.564 1
Au5 Au 0.822 0.939 0.436 1
Mg1 Mg 0.000 0.000 0.000 1
Au6 Au 0.799 0.277 0.845 1
Au7 Au 0.356 0.155 0.122 1
Al2 Al 0.026 0.707 0.522 1
Au8 Au 0.201 0.723 0.155 1
Au9 Au 0.258 0.436 0.625 1
Al3 Al 0.319 0.771 0.707 1
Au10 Au 0.883 0.625 0.939 1
Al4 Al 0.681 0.229 0.293 1
Al5 Al 0.548 0.522 0.771 1
Au11 Au 0.522 0.878 0.277 1
Al6 Al 0.452 0.478 0.229 1
Au12 Au 0.117 0.375 0.061 1
# DOS at the Fermi energy ... 0.197 states/eV/atom
# DFT total energy ... -0.268 Ry/atom
# ΔE to the lowest computed polymorph ... 0.000 eV per atom

Entry 6:
# TbDySi (GGA-PBE, relaxed)
data_TbDySi
_cell_length_a 4.854
_cell_length_b 4.854
_cell_length_c 4.854
_cell_angle_alpha 60.00
_cell_angle_beta 60.00
_cell_angle_gamma 60.00
_symmetry_space_group_name_H-M 'P 1'
_symmetry_Int_Tables_number 1
loop_
_symmetry_equiv_pos_as_xyz
'x,y,z'
loop_
_atom_site_label
_atom_site_type_symbol
_atom_site_fract_x
_atom_site_fract_y
_atom_site_fract_z
_atom_site_occupancy
Si1 Si 0.250 0.250 0.250 1
Dy1 Dy 0.500 0.500 0.500 1
Tb1 Tb 0.000 0.000 0.000 1
# DOS at the Fermi energy ... 0.830 states/eV/atom
# Formation energy without anion corrections ... -0.47 eV per atom
# DFT total energy ... -0.394 Ry/atom
# ΔE to the lowest computed polymorph ... 0.053 eV per atom

Entry 7:
# BeSbTe2I (GGA-PBE, relaxed)
data_BeSbTe2I
_cell_length_a 5.793
_cell_length_b 5.793
_cell_length_c 5.953
_cell_angle_alpha 90.00
_cell_angle_beta 90.00
_cell_angle_gamma 90.00
_symmetry_space_group_name_H-M 'P 1'
_symmetry_Int_Tables_number 1
loop_
_symmetry_equiv_pos_as_xyz
'x,y,z'
loop_
_atom_site_label
_atom_site_type_symbol
_atom_site_fract_x
_atom_site_fract_y
_atom_site_fract_z
_atom_site_occupancy
Sb1 Sb 0.000 0.000 0.500 1
Be1 Be 0.500 0.500 0.500 1
Te1 Te 0.000 0.500 0.000 1
Te2 Te 0.500 0.000 0.000 1
I1 I 0.000 0.000 0.000 1
# DOS at the Fermi energy ... 1.073 states/eV/atom
# Formation energy without anion corrections ... 1.45 eV per atom
# DFT total energy ... -0.124 Ry/atom
# ΔE to the lowest computed polymorph ... 1.128 eV per atom

Entry 8:
# Pu2SiPt (GGA-PBE, relaxed)
data_Pu2SiPt
_cell_length_a 5.067
_cell_length_b 3.565
_cell_length_c 3.565
_cell_angle_alpha 90.00
_cell_angle_beta 90.00
_cell_angle_gamma 90.00
_symmetry_space_group_name_H-M 'P 1'
_symmetry_Int_Tables_number 1
loop_
_symmetry_equiv_pos_as_xyz
'x,y,z'
loop_
_atom_site_label
_atom_site_type_symbol
_atom_site_fract_x
_atom_site_fract_y
_atom_site_fract_z
_atom_site_occupancy
Pt1 Pt 0.500 0.500 0.500 1
Pu1 Pu 0.000 0.500 0.000 1
Si1 Si 0.500 0.000 0.000 1
Pu2 Pu 0.000 0.000 0.500 1
# DOS at the Fermi energy ... 1.759 states/eV/atom
# Formation energy without anion corrections ... -0.23 eV per atom
# DFT total energy ... -0.755 Ry/atom

Among the records above, which one has the highest DFT total energy? BeSbTe2I